Material: CdGa2Cu
Method: DFT, PBE
State: relaxed

The structure belongs to space group F-43m (No. 216); the cell edges are 6.566, 6.566 and 6.566 Å and the angles 90.00°, 90.00° and 90.00°. The inequivalent atoms are Cd at (0.000, 0.000, 0.000), Ga at (0.000, 0.000, 0.500), Ga at (0.250, 0.250, 0.250) and Cu at (0.250, 0.250, 0.750).

The electronic total energy is -2.515 eV per atom.